# Sc12Ga6Fe

A relaxed structure of Sc12Ga6Fe (GGA-PBE, the Alexandria database).

Geometry as POSCAR:
```
Sc12Ga6Fe
1.0
5.1313 2.9626 4.2341
-5.1313 2.9626 4.2341
0.0000 -5.9251 4.2341
Sc Ga Fe
12 6 1
Cartesian
-1.3867 -4.5783 5.4278
-4.6583 -1.0882 7.2745
-1.1143 -1.3347 4.2557
-3.2715 3.4901 5.4278
-0.5987 1.6324 4.2557
1.7131 -0.2977 4.2557
-1.7131 0.2977 8.4466
0.5987 -1.6324 8.4466
3.2715 -3.4901 7.2745
1.1143 1.3347 8.4466
4.6583 1.0882 5.4278
1.3867 4.5783 7.2745
-2.7786 0.6001 5.7429
-1.9090 -2.1063 6.9594
0.8696 -2.7064 5.7429
-0.8696 2.7064 6.9594
1.9090 2.1063 5.7429
2.7786 -0.6001 6.9594
0.0000 0.0000 6.3512
```

Values from the calculation:
Volume = 20.3 A^3/atom
Space-group type = R-3 (148)

---

# CaMg2Re

A relaxed structure of CaMg2Re (GGA-PBE, the Alexandria database).

Geometry as POSCAR:
```
CaMg2Re
1.0
1.8725 -2.2371 0.0000
1.8725 2.2371 0.0000
0.0000 0.0000 9.8849
Ca Mg Re
1 2 1
Cartesian
0.0000 0.0000 0.0000
0.0000 0.0000 4.4630
1.8725 0.0000 7.0116
1.8725 0.0000 2.3688
```

Values from the calculation:
Volume = 20.7 A^3/atom
Energy above the most stable polymorph in this dataset = 23 meV/atom
Space-group type = Cmm2 (35)

---

| no. | electronic total energy (eV per atom) |
| --- | --- |
| 1 | -5.6926 |
| 2 | -3.9777 |